# Ce2Be2FeO6, optimized geometry, DFT GGA+U
# Total energy: -7.432 eV per atom
# Crystal system: trigonal
# DOS at the Fermi energy: 15.1 states/eV/f.u.
# Total magnetization: 18.97 μB per cell
# Theoretical density: 5.77 g cm⁻³
data_Ce2Be2FeO6
_chemical_formula_sum 'Ce6 Be6 Fe3 O18'
_cell_length_a 5.3047
_cell_length_b 5.3047
_cell_length_c 15.9445
_cell_angle_alpha 90.00
_cell_angle_beta 90.00
_cell_angle_gamma 120.00
_symmetry_space_group_name_H-M 'R -3 m'
_symmetry_Int_Tables_number 166
_symmetry_space_group_name_Hall '-R 3 2"'
loop_
_atom_site_label
_atom_site_type_symbol
_atom_site_fract_x
_atom_site_fract_y
_atom_site_fract_z
_atom_site_occupancy
Ce1 Ce 0.0000 0.0000 0.2133 1
Be1 Be 0.0000 0.0000 0.4217 1
Fe1 Fe 0.0000 0.0000 0.0000 1
O1 O 0.0013 0.5007 0.2444 1